Record 1
Here is a geometry-optimized Ca2MgZn3Ga4 structure from the Alexandria database. Energies are from PBE.

```
10
Lattice="4.121 0.000 0.000 0.000 4.121 0.000 0.000 0.000 11.854" Properties=species:S:1:pos:R:3 pbc="T T T"
Ca 0.000 2.061 2.809
Ca 2.061 0.000 9.045
Mg 0.000 0.000 5.927
Zn 0.000 2.061 10.228
Zn 2.061 0.000 1.627
Zn 2.061 2.061 5.927
Ga 0.000 0.000 0.000
Ga 0.000 2.061 7.709
Ga 2.061 0.000 4.146
Ga 2.061 2.061 0.000
```

Computed properties:
Electronic total energy, eV per atom: -2.4737
Magnetization, μB/f.u.: 0.00
Calculated formation energy, eV per atom: -0.32


Record 2
Here is a geometry-optimized La4Nd5Cd structure from the Alexandria database. Energies are from PBE.

```
10
Lattice="-5.478 5.478 3.018 5.478 -5.478 3.018 5.478 5.478 -3.018" Properties=species:S:1:pos:R:3 pbc="T T T"
La 3.425 0.000 0.000
La 7.530 0.000 0.000
La 0.000 3.425 0.000
La 0.000 7.530 0.000
Nd 0.000 0.000 1.130
Nd 3.453 3.453 -0.079
Nd 2.025 -2.025 2.939
Nd -2.025 2.025 2.939
Nd 2.025 2.025 2.939
Cd 0.000 0.000 4.281
```

Computed properties:
Electronic total energy, eV per atom: -4.3652
Energy above the lowest structure with this stoichiometry, meV per atom: 138
Magnetization, μB/f.u.: 0.00
Calculated formation energy, eV per atom: 0.08


Please write out number 1 again, unchanged.
Here is a geometry-optimized Ca2MgZn3Ga4 structure from the Alexandria database. Energies are from PBE.

```
10
Lattice="4.121 0.000 0.000 0.000 4.121 0.000 0.000 0.000 11.854" Properties=species:S:1:pos:R:3 pbc="T T T"
Ca 0.000 2.061 2.809
Ca 2.061 0.000 9.045
Mg 0.000 0.000 5.927
Zn 0.000 2.061 10.228
Zn 2.061 0.000 1.627
Zn 2.061 2.061 5.927
Ga 0.000 0.000 0.000
Ga 0.000 2.061 7.709
Ga 2.061 0.000 4.146
Ga 2.061 2.061 0.000
```

Computed properties:
Electronic total energy, eV per atom: -2.4737
Magnetization, μB/f.u.: 0.00
Calculated formation energy, eV per atom: -0.32